Record 1
A relaxed Tb2ScPt9 crystal, computed with PBE.

Lattice parameters (Å, degrees): 4.0914 4.0914 12.2614 90.00 90.00 90.00
With the nearest neighbours (Å) after each atom.
Atoms (fractional coordinates):
Pt 0.0000 0.5000 0.1585  2 Sc 2.82, 8 Pt 2.82-2.93, 2 Tb 2.94
Pt 0.5000 0.0000 0.1585  8 Pt 2.82-2.93, 2 Sc 2.82, 2 Tb 2.94
Pt 0.5000 0.0000 0.8415  8 Pt 2.82-2.93, 2 Sc 2.82, 2 Tb 2.94
Pt 0.5000 0.5000 0.6707  4 Tb 2.89, 8 Pt 2.93
Pt 0.0000 0.5000 0.8415  2 Sc 2.82, 8 Pt 2.82-2.93, 2 Tb 2.94
Sc 0.0000 0.0000 0.0000  12 Pt 2.82-2.89
Pt 0.0000 0.5000 0.5000  8 Pt 2.89-2.93, 4 Tb 2.92
Tb 0.0000 0.0000 0.3306  12 Pt 2.89-2.94
Tb 0.0000 0.0000 0.6694  12 Pt 2.89-2.94
Pt 0.5000 0.5000 0.3293  4 Tb 2.89, 8 Pt 2.93
Pt 0.5000 0.5000 0.0000  8 Pt 2.82, 4 Sc 2.89
Pt 0.5000 0.0000 0.5000  8 Pt 2.89-2.93, 4 Tb 2.92

Properties
The value obtained for the energy of formation from the pure elements is -1.0290 eV per atom. For the electronic total energy, the calculation gives -6.86 eV/atom.

=====

Record 2
A relaxed TbSc5Pt6 crystal, computed with PBE.

Lattice parameters (Å, degrees): 4.7609 7.5473 6.5442 90.00 90.00 71.61
With the nearest neighbours (Å) after each atom.
Atoms (fractional coordinates):
Pt 0.8265 0.3470 0.2542  7 Sc 2.81-2.96, 1 Tb 2.99
Tb 0.0000 0.0000 0.0000  8 Pt 2.94-2.99, 2 Sc 3.27
Sc 0.3319 0.3362 0.0000  8 Pt 2.81-2.97
Pt 0.1735 0.6530 0.7458  7 Sc 2.81-2.96, 1 Tb 2.99
Sc 0.6658 0.6684 0.5000  8 Pt 2.81-2.88
Pt 0.5000 0.0000 0.7354  6 Sc 2.83-2.97, 2 Tb 2.94, 1 Pt 3.08
Pt 0.8265 0.3470 0.7458  7 Sc 2.81-2.96, 1 Tb 2.99
Sc 0.0000 0.0000 0.5000  8 Pt 2.84-2.96
Pt 0.1735 0.6530 0.2542  7 Sc 2.81-2.96, 1 Tb 2.99
Pt 0.5000 0.0000 0.2646  6 Sc 2.83-2.97, 2 Tb 2.94, 1 Pt 3.08
Sc 0.6681 0.6638 0.0000  8 Pt 2.81-2.97
Sc 0.3342 0.3316 0.5000  8 Pt 2.81-2.88

Properties
The value obtained for the energy of formation from the pure elements is -1.2194 eV per atom. For the electronic total energy, the calculation gives -7.26 eV/atom.

=====

Record 3
A relaxed TbSc2Pt9 crystal, computed with PBE.

Lattice parameters (Å, degrees): 4.0506 4.0506 12.1392 90.00 90.00 90.00
With the nearest neighbours (Å) after each atom.
Atoms (fractional coordinates):
Pt 0.5000 0.0000 0.1750  2 Sc 2.81, 8 Pt 2.83-2.93, 2 Tb 2.93
Pt 0.5000 0.5000 0.6627  8 Pt 2.83, 4 Sc 2.86
Sc 0.0000 0.0000 0.6641  12 Pt 2.81-2.86
Pt 0.0000 0.5000 0.1750  2 Sc 2.81, 8 Pt 2.83-2.93, 2 Tb 2.93
Pt 0.5000 0.5000 0.3373  8 Pt 2.83, 4 Sc 2.86
Sc 0.0000 0.0000 0.3359  12 Pt 2.81-2.86
Pt 0.0000 0.5000 0.5000  8 Pt 2.83-2.86, 4 Sc 2.84
Pt 0.0000 0.5000 0.8250  2 Sc 2.81, 8 Pt 2.83-2.93, 2 Tb 2.93
Pt 0.5000 0.0000 0.5000  8 Pt 2.83-2.86, 4 Sc 2.84
Pt 0.5000 0.0000 0.8250  2 Sc 2.81, 8 Pt 2.83-2.93, 2 Tb 2.93
Pt 0.5000 0.5000 0.0000  4 Tb 2.86, 8 Pt 2.93
Tb 0.0000 0.0000 0.0000  12 Pt 2.86-2.93

Properties
The value obtained for the energy of formation from the pure elements is -1.0443 eV per atom. For the electronic total energy, the calculation gives -7.02 eV/atom.

=====

Record 4
A relaxed TbSc3Pt2 crystal, computed with PBE.

Lattice parameters (Å, degrees): 4.5433 6.8074 8.3922 90.00 90.00 90.00
With the nearest neighbours (Å) after each atom.
Atoms (fractional coordinates):
Sc 0.5000 0.1451 0.8338  4 Pt 2.70-2.81
Pt 0.0000 0.7501 0.3433  5 Sc 2.69-2.96, 2 Tb 2.98
Pt 0.5000 0.2486 0.1481  6 Sc 2.70-2.96, 1 Tb 2.83
Sc 0.0000 0.3573 0.3144  4 Pt 2.69-2.96
Tb 0.5000 0.0137 0.4257  3 Pt 2.83-2.98
Sc 0.5000 0.6451 0.1662  4 Pt 2.70-2.81
Tb 0.5000 0.5137 0.5743  3 Pt 2.83-2.98
Sc 0.0000 0.4851 0.9249  3 Pt 2.76-2.96
Sc 0.0000 0.8573 0.6856  4 Pt 2.69-2.96
Pt 0.5000 0.7486 0.8519  6 Sc 2.70-2.96, 1 Tb 2.83
Pt 0.0000 0.2501 0.6567  5 Sc 2.69-2.96, 2 Tb 2.98
Sc 0.0000 0.9851 0.0751  3 Pt 2.76-2.96

Properties
The value obtained for the energy of formation from the pure elements is -0.9811 eV per atom. For the electronic total energy, the calculation gives -6.93 eV/atom.

=====

Record 5
A relaxed TbScTcPt crystal, computed with PBE.

Lattice parameters (Å, degrees): 4.7485 4.7485 4.7485 60.00 60.00 60.00
With the nearest neighbours (Å) after each atom.
Atoms (fractional coordinates):
Sc 0.0000 0.0000 0.0000  4 Tc 2.91, 4 Pt 2.91
Pt 0.7500 0.7500 0.7500  4 Sc 2.91, 4 Tb 2.91
Tc 0.2500 0.2500 0.2500  4 Sc 2.91, 4 Tb 2.91
Tb 0.5000 0.5000 0.5000  4 Pt 2.91, 4 Tc 2.91

Properties
The value obtained for the energy of formation from the pure elements is -0.5980 eV per atom. For the electronic total energy, the calculation gives -7.44 eV/atom.

=====

Record 6
A relaxed ScTc2Pt crystal, computed with PBE.

Lattice parameters (Å, degrees): 4.4012 3.8075 3.8075 90.00 90.00 90.00
With the nearest neighbours (Å) after each atom.
Atoms (fractional coordinates):
Pt 0.5000 0.5000 0.0000  4 Sc 2.69, 8 Tc 2.91
Tc 0.0000 0.5000 0.5000  4 Tc 2.69, 4 Pt 2.91, 4 Sc 2.91
Sc 0.5000 0.0000 0.5000  4 Pt 2.69, 8 Tc 2.91
Tc 0.0000 0.0000 0.0000  4 Tc 2.69, 4 Pt 2.91, 4 Sc 2.91

Properties
The value obtained for the energy of formation from the pure elements is -0.3016 eV per atom. For the electronic total energy, the calculation gives -8.58 eV/atom.

=====

Record 7
A relaxed Sc2TcPt crystal, computed with PBE.

Lattice parameters (Å, degrees): 9.2722 9.2722 9.2722 19.23 19.23 19.23
With the nearest neighbours (Å) after each atom.
Atoms (fractional coordinates):
Pt 0.0000 0.0000 0.0000  2 Sc 2.56
Sc 0.9063 0.9063 0.9063  1 Pt 2.56, 3 Tc 2.68
Sc 0.0937 0.0937 0.0937  1 Pt 2.56, 3 Tc 2.68
Tc 0.5000 0.5000 0.5000  6 Sc 2.68

Properties
The value obtained for the energy of formation from the pure elements is -0.0858 eV per atom. For the electronic total energy, the calculation gives -7.35 eV/atom.

=====

Record 8
A relaxed Sc2TcPt crystal, computed with PBE.

Lattice parameters (Å, degrees): 4.2071 4.2071 9.2985 76.93 76.93 90.00
With the nearest neighbours (Å) after each atom.
Atoms (fractional coordinates):
Sc 0.3750 0.3816 0.7500  2 Tc 2.65, 2 Pt 2.67, 2 Sc 2.94
Tc 0.2500 0.7500 0.5000  4 Sc 2.65
Sc 0.8750 0.8684 0.7500  2 Tc 2.65, 2 Pt 2.67, 2 Sc 2.94
Tc 0.5000 0.5000 0.0000  4 Sc 2.65
Sc 0.1316 0.6250 0.2500  2 Tc 2.65, 2 Pt 2.67, 2 Sc 2.94
Sc 0.6184 0.1250 0.2500  2 Tc 2.65, 2 Pt 2.67, 2 Sc 2.94
Pt 0.0000 0.0000 0.0000  4 Sc 2.67, 4 Tc 2.97
Pt 0.7500 0.2500 0.5000  4 Sc 2.67, 4 Tc 2.97

Properties
The value obtained for the energy of formation from the pure elements is 0.0834 eV per atom. For the electronic total energy, the calculation gives -7.18 eV/atom.

=====

Record 9
A relaxed Sc2TcPt crystal, computed with PBE.

Lattice parameters (Å, degrees): 4.6105 4.6105 4.6105 60.00 60.00 60.00
With the nearest neighbours (Å) after each atom.
Atoms (fractional coordinates):
Pt 0.5000 0.5000 0.5000  4 Sc 2.82, 4 Tc 2.82
Sc 0.0000 0.0000 0.0000  4 Tc 2.82, 4 Sc 2.82
Sc 0.2500 0.2500 0.2500  4 Sc 2.82, 4 Pt 2.82
Tc 0.7500 0.7500 0.7500  4 Sc 2.82, 4 Pt 2.82

Properties
The value obtained for the energy of formation from the pure elements is -0.2815 eV per atom. For the electronic total energy, the calculation gives -7.55 eV/atom.

=====

Record 10
A relaxed ScTc4Pt2 crystal, computed with PBE.

Lattice parameters (Å, degrees): 4.5953 4.5953 7.2127 71.42 71.42 90.00
With the nearest neighbours (Å) after each atom.
Atoms (fractional coordinates):
Tc 0.8031 0.8031 0.3938  1 Pt 2.45, 1 Sc 2.54
Tc 0.5000 0.0000 0.0000  2 Sc 2.30
Pt 0.3873 0.3873 0.2253  5 Tc 2.45-2.72
Tc 0.0000 0.5000 0.0000  2 Sc 2.30
Tc 0.1969 0.1969 0.6062  1 Pt 2.45, 1 Sc 2.54
Pt 0.6127 0.6127 0.7747  5 Tc 2.45-2.72
Sc 0.0000 0.0000 0.0000  6 Tc 2.30-2.54

Properties
The value obtained for the energy of formation from the pure elements is 1.3794 eV per atom. For the electronic total energy, the calculation gives -7.17 eV/atom.

=====

Record 11
A relaxed Sc2Tc2Pt crystal, computed with PBE.

Lattice parameters (Å, degrees): 6.7073 6.7073 4.0716 90.00 90.00 90.00
With the nearest neighbours (Å) after each atom.
Atoms (fractional coordinates):
Tc 0.3801 0.8801 0.0000  1 Tc 2.28
Pt 0.5000 0.5000 0.0000  4 Tc 2.67
Sc 0.3189 0.1811 0.5000  6 Tc 2.78-2.90
Sc 0.8189 0.3189 0.5000  6 Tc 2.78-2.90
Sc 0.6811 0.8189 0.5000  6 Tc 2.78-2.90
Tc 0.6199 0.1199 0.0000  1 Tc 2.28
Tc 0.1199 0.3801 0.0000  1 Tc 2.28
Pt 0.0000 0.0000 0.0000  4 Tc 2.67
Sc 0.1811 0.6811 0.5000  6 Tc 2.78-2.90
Tc 0.8801 0.6199 0.0000  1 Tc 2.28

Properties
The value obtained for the energy of formation from the pure elements is -0.2874 eV per atom. For the electronic total energy, the calculation gives -8.17 eV/atom.

=====

Record 12
A relaxed ScTc2Pt crystal, computed with PBE.

Lattice parameters (Å, degrees): 9.1902 9.1902 9.1902 17.96 17.96 17.96
With the nearest neighbours (Å) after each atom.
Atoms (fractional coordinates):
Tc 0.2543 0.2543 0.2543  9 Tc 2.63-2.87, 3 Pt 2.90
Tc 0.9961 0.9961 0.9961  9 Tc 2.63-2.87, 3 Sc 2.88
Sc 0.7498 0.7498 0.7498  3 Pt 2.80, 6 Sc 2.87, 3 Tc 2.88
Pt 0.4998 0.4998 0.4998  3 Sc 2.80, 6 Pt 2.87, 3 Tc 2.90

Properties
The value obtained for the energy of formation from the pure elements is -0.1303 eV per atom. For the electronic total energy, the calculation gives -8.41 eV/atom.

=====

| no. | calculated volume (A^3/atom) |
| --- | --- |
| 1 | 17.10 |
| 2 | 18.60 |
| 3 | 16.60 |
| 4 | 21.63 |
| 5 | 18.93 |
| 6 | 15.95 |
| 7 | 18.90 |
| 8 | 19.49 |
| 9 | 17.32 |
| 10 | 19.43 |
| 11 | 18.32 |
| 12 | 16.11 |